Entry from Alexandria via LeMat-Bulk: a relaxed structure of Er5Co2Au (GGA-PBE).

Lattice parameters (Å, degrees): 7.3834 7.3834 8.4393 115.94 115.94 90.00
Closest atoms and distances in Å follow each position.
Fractional coordinates of all 16 atoms:
Er1 0.1991 0.0292 0.7283  3 Co 2.80-2.84
Er2 0.4708 0.3009 0.2717  3 Co 2.80-2.84
Er3 0.5000 0.5000 0.0000  4 Co 2.90
Er4 0.5292 0.6991 0.7283  3 Co 2.80-2.84
Er5 0.8009 0.9708 0.2717  3 Co 2.80-2.84
Er6 0.3009 0.8009 0.2717  3 Co 2.80-2.84
Er7 0.9708 0.4708 0.2717  3 Co 2.80-2.84
Er8 0.6991 0.1991 0.7283  3 Co 2.80-2.84
Er9 0.0292 0.5292 0.7283  3 Co 2.80-2.84
Er10 0.0000 0.0000 0.0000  4 Co 2.90
Au1 0.7500 0.7500 0.5000  10 Er 3.15-3.32
Au2 0.2500 0.2500 0.5000  10 Er 3.15-3.32
Co1 0.1297 0.3703 0.0000  1 Co 2.71, 8 Er 2.80-2.90
Co2 0.3703 0.8703 0.0000  1 Co 2.71, 8 Er 2.80-2.90
Co3 0.6297 0.1297 0.0000  1 Co 2.71, 8 Er 2.80-2.90
Co4 0.8703 0.6297 0.0000  1 Co 2.71, 8 Er 2.80-2.90

## Properties
Its total energy is -87.120 eV/cell. As for the density of states at the Fermi level: 0.90 states/eV per atom. The value obtained for the energy relative to the elements is -0.407 eV per atom.